Record 1
ReAg2Br: relaxed, PBE-GGA.

Cell and atoms, written as CIF:
```
data_ReAg2Br
_symmetry_space_group_name_H-M 'F -4 3 m'
_symmetry_Int_Tables_number 216
_symmetry_space_group_name_Hall 'F -4 2 3'
_cell_length_a 6.759
_cell_length_b 6.759
_cell_length_c 6.759
_cell_angle_alpha 90.00
_cell_angle_beta 90.00
_cell_angle_gamma 90.00
loop_
_atom_site_label
_atom_site_type_symbol
_atom_site_fract_x
_atom_site_fract_y
_atom_site_fract_z
_atom_site_occupancy
Re1 Re 0.000 0.000 0.000 1
Ag1 Ag 0.000 0.000 0.500 1
Ag2 Ag 0.250 0.250 0.750 1
Br1 Br 0.250 0.250 0.250 1
```

**E above lowest polymorph**: 0.653 eV/atom
**Formation energy (no corrections)**: 1.231 eV per atom

Record 2
ReAg2Br: relaxed, PBE-GGA.

Cell and atoms, written as CIF:
```
data_ReAg2Br
_symmetry_space_group_name_H-M 'P m m m'
_symmetry_Int_Tables_number 47
_cell_length_a 2.934
_cell_length_b 4.811
_cell_length_c 5.181
_cell_angle_alpha 90.00
_cell_angle_beta 90.00
_cell_angle_gamma 90.00
loop_
_symmetry_equiv_pos_as_xyz
'x,y,z'
'-x,-y,-z'
'-x,-y,z'
'x,y,-z'
'x,-y,-z'
'-x,y,z'
'-x,y,-z'
'x,-y,z'
loop_
_atom_site_label
_atom_site_type_symbol
_atom_site_fract_x
_atom_site_fract_y
_atom_site_fract_z
_atom_site_occupancy
Re1 Re 0.000 0.000 0.000 1
Ag1 Ag 0.000 0.500 0.500 1
Ag2 Ag 0.500 0.000 0.500 1
Br1 Br 0.500 0.500 0.000 1
```

**E above lowest polymorph**: 0.451 eV/atom
**Formation energy (no corrections)**: 1.029 eV per atom

Number 1: magnetization 3.4 μB/f.u.. Number 2: magnetization 1.1 μB/f.u..